[1]
The following is a GGA-PBE calculation of crystalline TlCuSnN2 at its relaxed geometry, from Alexandria.

Properties
Size of the total moment ... 2.00 μB/cell
Formation energy from raw total energies ... 123.1 kJ per mole of atoms
E_tot ... -20.7 eV per formula unit

Lattice parameters (Å, degrees): 4.2287 4.2287 5.2905 90.00 90.00 90.00
Space group P4/mmm (No. 123)
One atom of each set of equivalent atoms:
Tl 0.0000 0.0000 0.0000 [1 per cell]
Cu 0.5000 0.5000 0.0000 [1 per cell]
Sn 0.5000 0.5000 0.5000 [1 per cell]
N 0.0000 0.5000 0.5000 [2 per cell]

---

[2]
The following is a GGA-PBE calculation of crystalline Sm2GaBi at its relaxed geometry, from Alexandria.

Properties
Size of the total moment ... 0.00 μB/cell
E above lowest polymorph ... 128.3 meV/atom
E_tot ... -18.7 eV per formula unit

Lattice parameters (Å, degrees): 4.3149 4.3149 22.7450 90.00 90.00 120.00
Space group R-3m (No. 166, hexagonal axes)
One atom of each set of equivalent atoms:
Sm 0.0000 0.0000 0.2480 [6 per cell]
Ga 0.0000 0.0000 0.5000 [3 per cell]
Bi 0.0000 0.0000 0.0000 [3 per cell]

---

[3]
The following is a GGA-PBE calculation of crystalline RbPIr2 at its relaxed geometry, from Alexandria.

Properties
Size of the total moment ... 0.00 μB/cell
E_tot ... -25.2 eV per formula unit

Lattice parameters (Å, degrees): 4.1408 6.3638 7.4611 93.94 106.04 90.01
Space group P-1 (No. 2)
One atom of each set of equivalent atoms:
Rb 0.0554 0.2556 0.1073 [2 per cell]
P 0.3510 0.1168 0.7028 [2 per cell]
Ir 0.2341 0.8410 0.4681 [2 per cell]
Ir 0.2836 0.4312 0.5674 [2 per cell]

---

- E_tot of number 3 (RbPIr2)?
  -25.2 eV per formula unit